1.
Here is LaSm9Tl2 after structural relaxation from Alexandria via LeMat-Bulk. Energies are from PBE-GGA.

Cell and atoms, written as extended XYZ:
```
12
Lattice="-0.4174 1.0482 4.8331 -1.1909 -4.7288 0.9227 14.8876 -3.3564 2.0137" Properties=species:S:1:pos:R:3 pbc="T T T"
La 0.0000 0.0000 0.0000
Sm 2.0265 -2.9555 0.8160
Sm 2.4132 -0.0670 2.7712
Sm 9.0132 -4.0537 4.2058
Sm -0.8042 -1.8403 2.8779
Sm 12.0569 -2.2412 4.0756
Sm 4.2661 -2.9834 3.5637
Tl 9.8331 -2.2169 1.3300
Sm 7.2351 -1.1541 3.4234
Sm 11.6702 -5.1297 2.1204
Sm 6.8483 -4.0426 1.4682
Tl 5.0545 -1.1395 0.6837
```

Properties
**ΔE_f**: -0.111 eV per atom
**Calculated total energy**: -4.455 eV/atom
**SG**: P4/mmm (123)
**DOS(E_F)**: 15.66 states/eV/f.u.

2.
Here is Ta2BeCd after structural relaxation from Alexandria via LeMat-Bulk. Energies are from PBE-GGA.

Cell and atoms, written as extended XYZ:
```
4
Lattice="5.0277 -0.0121 -0.0125 -1.8684 4.6676 -0.0125 0.0078 0.0115 2.8548" Properties=species:S:1:pos:R:3 pbc="T T T"
Be 2.5178 -0.0003 1.4212
Ta 1.5796 2.3278 -0.0125
Ta 0.0000 0.0000 0.0000
Cd -0.9303 2.3396 1.4212
```

Properties
**ΔE_f**: 0.363 eV per atom
**Calculated total energy**: -6.724 eV/atom
**Offset from the most stable computed form**: 0.249 eV/atom
**SG**: Cmmm (65)
**DOS(E_F)**: 2.17 states/eV/f.u.

3.
Here is HfBe3Ga after structural relaxation from Alexandria via LeMat-Bulk. Energies are from PBE-GGA.

Cell and atoms, written as extended XYZ:
```
5
Lattice="4.7594 0.0000 0.0000 0.0000 4.7594 0.0000 0.0000 0.0000 4.7594" Properties=species:S:1:pos:R:3 pbc="T T T"
Be 0.0000 0.0000 2.3797
Be 0.0000 2.3797 0.0000
Hf 0.0000 0.0000 0.0000
Be 2.3797 0.0000 0.0000
Ga 2.3797 2.3797 2.3797
```

Properties
**ΔE_f**: 1.735 eV per atom
**Calculated total energy**: -3.096 eV/atom
**Offset from the most stable computed form**: 1.122 eV/atom
**SG**: Pm-3m (221)
**DOS(E_F)**: 2.91 states/eV/f.u.